<P>
First-principles (PBE) data for crystalline TlHgP2O at its relaxed geometry, as listed in Alexandria.

```
5
Lattice="5.1660 0.0000 0.0000 0.0000 5.1660 0.0000 0.0000 0.0000 4.1650" Properties=species:S:1:pos:R:3 pbc="T T T"
P 0.0000 2.5830 0.0000
P 2.5830 0.0000 0.0000
Tl 2.5830 2.5830 2.0825
Hg 0.0000 0.0000 0.0000
O 0.0000 0.0000 2.0825
```

M_tot = 0.7 μB per formula unit
crystal system = tetragonal
space-group type = P4/mmm
V = 111.2 Å³ per cell
Fermi-level density of states = 5.48 states/eV/cell



<Q>
First-principles (PBE) data for crystalline TlHgP2O at its relaxed geometry, as listed in Alexandria.

```
5
Lattice="5.2728 0.0000 0.0000 0.0000 5.2728 0.0000 0.0000 0.0000 4.1583" Properties=species:S:1:pos:R:3 pbc="T T T"
P 0.0000 2.6364 0.0000
P 2.6364 0.0000 0.0000
Tl 0.0000 0.0000 0.0000
Hg 2.6364 2.6364 2.0791
O 0.0000 0.0000 2.0791
```

M_tot = 1.1 μB per formula unit
crystal system = tetragonal
space-group type = P4/mmm
V = 115.6 Å³ per cell
Fermi-level density of states = 4.78 states/eV/cell



Of the structures shown above, <Q> is the least stable.